1) DFT (GGA-PBE) results for a geometry-optimized Rb2LiTeI6 structure. Values from VASP.

The structure in Quantum ESPRESSO input format:
```
&SYSTEM
  ibrav = 0, nat = 20, ntyp = 4
/
ATOMIC_SPECIES
Rb 85.47 Rb.upf
Li 6.94 Li.upf
Te 127.60 Te.upf
I 126.90 I.upf
ATOMIC_POSITIONS crystal
Rb 0.888 0.888 0.337
Rb 0.112 0.112 0.663
Rb 0.697 0.697 0.908
Rb 0.303 0.303 0.092
Li 0.579 0.579 0.263
Li 0.421 0.421 0.737
Te 0.000 0.000 0.000
Te 0.500 0.500 0.500
I 0.882 0.371 0.376
I 0.371 0.882 0.376
I 0.371 0.371 0.376
I 0.118 0.629 0.624
I 0.629 0.118 0.624
I 0.629 0.629 0.624
I 0.691 0.216 0.877
I 0.216 0.691 0.877
I 0.216 0.216 0.877
I 0.309 0.784 0.123
I 0.784 0.309 0.123
I 0.784 0.784 0.123
CELL_PARAMETERS angstrom
8.357 0.000 0.000
4.179 7.238 0.000
4.179 2.413 14.543
```

=====

2) DFT (GGA-PBE) results for a geometry-optimized Rb2LiTeI6 structure. Values from VASP.

The structure in Quantum ESPRESSO input format:
```
&SYSTEM
  ibrav = 0, nat = 10, ntyp = 4
/
ATOMIC_SPECIES
I 126.90 I.upf
Te 127.60 Te.upf
Rb 85.47 Rb.upf
Li 6.94 Li.upf
ATOMIC_POSITIONS crystal
I 0.276 0.276 0.448
I 0.724 0.724 0.552
I 0.245 0.245 0.000
I 0.755 0.755 0.000
I 0.755 0.245 0.000
I 0.245 0.755 0.000
Te 0.000 0.000 0.000
Rb 0.750 0.250 0.500
Rb 0.250 0.750 0.500
Li 0.500 0.500 0.000
CELL_PARAMETERS angstrom
-3.303 7.154 3.199
-7.805 -2.686 -2.050
-6.074 -0.487 6.122
```

=====

Most stable = 2)

=====

1) DFT (GGA-PBE) results for a geometry-optimized Rb2LiTlI6 structure. Values from VASP.

The structure in Quantum ESPRESSO input format:
```
&SYSTEM
  ibrav = 0, nat = 10, ntyp = 4
/
ATOMIC_SPECIES
I 126.90 I.upf
Tl 204.38 Tl.upf
Rb 85.47 Rb.upf
Li 6.94 Li.upf
ATOMIC_POSITIONS crystal
I 0.253 0.253 0.495
I 0.747 0.747 0.505
I 0.253 0.253 0.000
I 0.747 0.747 0.000
I 0.747 0.253 0.000
I 0.253 0.747 0.000
Tl 0.000 0.000 0.000
Rb 0.750 0.250 0.500
Rb 0.250 0.750 0.500
Li 0.500 0.500 0.000
CELL_PARAMETERS angstrom
8.485 0.000 0.000
0.000 8.485 0.000
4.242 4.242 6.000
```

=====

2) DFT (GGA-PBE) results for a geometry-optimized Rb2LiTlI6 structure. Values from VASP.

The structure in Quantum ESPRESSO input format:
```
&SYSTEM
  ibrav = 0, nat = 20, ntyp = 4
/
ATOMIC_SPECIES
Rb 85.47 Rb.upf
Li 6.94 Li.upf
Tl 204.38 Tl.upf
I 126.90 I.upf
ATOMIC_POSITIONS crystal
Rb 0.033 0.914 0.250
Rb 0.533 0.586 0.750
Rb 0.967 0.086 0.750
Rb 0.467 0.414 0.250
Li 0.500 0.000 0.000
Li 0.000 0.500 0.500
Tl 0.500 0.000 0.500
Tl 0.000 0.500 0.000
I 0.306 0.691 0.039
I 0.806 0.809 0.539
I 0.694 0.309 0.961
I 0.194 0.191 0.461
I 0.294 0.689 0.471
I 0.794 0.811 0.971
I 0.706 0.311 0.529
I 0.206 0.189 0.029
I 0.921 0.489 0.248
I 0.421 0.011 0.748
I 0.079 0.511 0.752
I 0.579 0.989 0.252
CELL_PARAMETERS angstrom
-8.077 0.368 -0.682
0.594 -2.336 -8.299
-1.094 -11.485 3.154
```

=====

Most stable = 2)

=====

1) DFT (GGA-PBE) results for a geometry-optimized Rb2LiZrI6 structure. Values from VASP.

The structure in Quantum ESPRESSO input format:
```
&SYSTEM
  ibrav = 0, nat = 20, ntyp = 4
/
ATOMIC_SPECIES
Rb 85.47 Rb.upf
Li 6.94 Li.upf
Zr 91.22 Zr.upf
I 126.90 I.upf
ATOMIC_POSITIONS crystal
Rb 0.877 0.877 0.368
Rb 0.123 0.123 0.632
Rb 0.700 0.700 0.899
Rb 0.300 0.300 0.101
Li 0.580 0.580 0.260
Li 0.420 0.420 0.740
Zr 0.000 0.000 0.000
Zr 0.500 0.500 0.500
I 0.872 0.375 0.378
I 0.375 0.872 0.378
I 0.375 0.375 0.378
I 0.128 0.625 0.622
I 0.625 0.128 0.622
I 0.625 0.625 0.622
I 0.710 0.206 0.878
I 0.206 0.710 0.878
I 0.206 0.206 0.878
I 0.290 0.794 0.122
I 0.794 0.290 0.122
I 0.794 0.794 0.122
CELL_PARAMETERS angstrom
8.334 0.000 0.000
4.167 7.218 0.000
4.167 2.406 13.929
```

=====

2) DFT (GGA-PBE) results for a geometry-optimized Rb2LiZrI6 structure. Values from VASP.

The structure in Quantum ESPRESSO input format:
```
&SYSTEM
  ibrav = 0, nat = 10, ntyp = 4
/
ATOMIC_SPECIES
I 126.90 I.upf
Rb 85.47 Rb.upf
Zr 91.22 Zr.upf
Li 6.94 Li.upf
ATOMIC_POSITIONS crystal
I 0.248 0.248 0.505
I 0.752 0.752 0.495
I 0.248 0.248 0.000
I 0.752 0.752 0.000
I 0.752 0.248 0.000
I 0.248 0.752 0.000
Rb 0.750 0.250 0.500
Rb 0.250 0.750 0.500
Zr 0.000 0.000 0.000
Li 0.500 0.500 0.000
CELL_PARAMETERS angstrom
8.351 0.000 0.000
0.000 8.351 0.000
4.176 4.176 5.908
```

=====

Most stable = 1)

=====

1) DFT (GGA-PBE) results for a geometry-optimized LiRe3I structure. Values from VASP.

The structure in Quantum ESPRESSO input format:
```
&SYSTEM
  ibrav = 0, nat = 5, ntyp = 3
/
ATOMIC_SPECIES
I 126.90 I.upf
Re 186.21 Re.upf
Li 6.94 Li.upf
ATOMIC_POSITIONS crystal
I 0.000 0.000 0.000
Re 0.000 0.500 0.000
Re 0.000 0.000 0.500
Re 0.500 0.000 0.000
Li 0.500 0.500 0.500
CELL_PARAMETERS angstrom
4.850 0.000 0.000
0.000 4.850 0.000
0.000 0.000 4.850
```

=====

2) DFT (GGA-PBE) results for a geometry-optimized LiRe3I structure. Values from VASP.

The structure in Quantum ESPRESSO input format:
```
&SYSTEM
  ibrav = 0, nat = 5, ntyp = 3
/
ATOMIC_SPECIES
I 126.90 I.upf
Re 186.21 Re.upf
Li 6.94 Li.upf
ATOMIC_POSITIONS crystal
I 0.500 0.500 0.500
Re 0.000 0.500 0.000
Re 0.000 0.000 0.500
Re 0.500 0.000 0.000
Li 0.000 0.000 0.000
CELL_PARAMETERS angstrom
4.315 0.000 0.000
0.000 4.315 0.000
0.000 0.000 4.315
```

=====

Most stable = 2)

=====

1) DFT (GGA-PBE) results for a geometry-optimized Li2ReI structure. Values from VASP.

The structure in Quantum ESPRESSO input format:
```
&SYSTEM
  ibrav = 0, nat = 4, ntyp = 3
/
ATOMIC_SPECIES
I 126.90 I.upf
Re 186.21 Re.upf
Li 6.94 Li.upf
ATOMIC_POSITIONS crystal
I 0.000 0.000 0.000
Re 0.500 0.500 0.500
Li 0.250 0.250 0.250
Li 0.750 0.750 0.750
CELL_PARAMETERS angstrom
0.000 3.237 3.237
3.237 0.000 3.237
3.237 3.237 0.000
```

=====

2) DFT (GGA-PBE) results for a geometry-optimized Li2ReI structure. Values from VASP.

The structure in Quantum ESPRESSO input format:
```
&SYSTEM
  ibrav = 0, nat = 8, ntyp = 3
/
ATOMIC_SPECIES
I 126.90 I.upf
Re 186.21 Re.upf
Li 6.94 Li.upf
ATOMIC_POSITIONS crystal
I 0.500 0.500 0.000
I 0.250 0.750 0.500
Re 0.000 0.000 0.000
Re 0.750 0.250 0.500
Li 0.617 0.125 0.250
Li 0.133 0.625 0.250
Li 0.375 0.383 0.750
Li 0.875 0.867 0.750
CELL_PARAMETERS angstrom
7.607 0.000 0.000
0.000 7.607 0.000
3.803 3.803 2.754
```

=====

Most stable = 2)

=====

1) DFT (GGA-PBE) results for a geometry-optimized LiRe2I structure. Values from VASP.

The structure in Quantum ESPRESSO input format:
```
&SYSTEM
  ibrav = 0, nat = 4, ntyp = 3
/
ATOMIC_SPECIES
I 126.90 I.upf
Re 186.21 Re.upf
Li 6.94 Li.upf
ATOMIC_POSITIONS crystal
I 0.500 0.500 0.500
Re 0.250 0.250 0.250
Re 0.750 0.750 0.750
Li 0.000 0.000 0.000
CELL_PARAMETERS angstrom
4.417 0.079 0.246
1.987 0.665 3.897
2.166 -3.316 1.973
```

=====

2) DFT (GGA-PBE) results for a geometry-optimized LiRe2I structure. Values from VASP.

The structure in Quantum ESPRESSO input format:
```
&SYSTEM
  ibrav = 0, nat = 8, ntyp = 3
/
ATOMIC_SPECIES
I 126.90 I.upf
Re 186.21 Re.upf
Li 6.94 Li.upf
ATOMIC_POSITIONS crystal
I 0.000 0.000 0.000
I 0.750 0.250 0.500
Re 0.587 0.125 0.250
Re 0.163 0.625 0.250
Re 0.375 0.413 0.750
Re 0.875 0.837 0.750
Li 0.500 0.500 0.000
Li 0.250 0.750 0.500
CELL_PARAMETERS angstrom
3.697 0.000 0.000
0.000 3.697 0.000
1.848 1.848 11.235
```

=====

Most stable = 2)

=====

1) DFT (GGA-PBE) results for a geometry-optimized LiTeRhI2 structure. Values from VASP.

The structure in Quantum ESPRESSO input format:
```
&SYSTEM
  ibrav = 0, nat = 5, ntyp = 4
/
ATOMIC_SPECIES
I 126.90 I.upf
Te 127.60 Te.upf
Rh 102.91 Rh.upf
Li 6.94 Li.upf
ATOMIC_POSITIONS crystal
I 0.000 0.500 0.000
I 0.500 0.000 0.000
Te 0.000 0.000 0.500
Rh 0.000 0.000 0.000
Li 0.500 0.500 0.500
CELL_PARAMETERS angstrom
-1.421 4.348 3.395
3.043 -2.306 4.227
4.084 2.546 -1.551
```

=====

2) DFT (GGA-PBE) results for a geometry-optimized LiTeRhI2 structure. Values from VASP.

The structure in Quantum ESPRESSO input format:
```
&SYSTEM
  ibrav = 0, nat = 5, ntyp = 4
/
ATOMIC_SPECIES
I 126.90 I.upf
Te 127.60 Te.upf
Rh 102.91 Rh.upf
Li 6.94 Li.upf
ATOMIC_POSITIONS crystal
I 0.000 0.000 0.500
I 0.500 0.000 0.000
Te 0.000 0.000 0.000
Rh 0.500 0.500 0.500
Li 0.000 0.500 0.000
CELL_PARAMETERS angstrom
6.188 0.000 0.000
0.000 4.987 0.000
0.000 0.000 6.188
```

=====

Most stable = 1)

=====

1) DFT (GGA-PBE) results for a geometry-optimized Li2RuI structure. Values from VASP.

The structure in Quantum ESPRESSO input format:
```
&SYSTEM
  ibrav = 0, nat = 4, ntyp = 3
/
ATOMIC_SPECIES
I 126.90 I.upf
Ru 101.07 Ru.upf
Li 6.94 Li.upf
ATOMIC_POSITIONS crystal
I 0.500 0.500 0.500
Ru 0.000 0.000 0.000
Li 0.250 0.250 0.250
Li 0.750 0.750 0.750
CELL_PARAMETERS angstrom
0.454 -2.976 3.326
-3.581 -2.240 1.510
-0.421 -4.386 -0.842
```

=====

2) DFT (GGA-PBE) results for a geometry-optimized Li2RuI structure. Values from VASP.

The structure in Quantum ESPRESSO input format:
```
&SYSTEM
  ibrav = 0, nat = 8, ntyp = 3
/
ATOMIC_SPECIES
I 126.90 I.upf
Ru 101.07 Ru.upf
Li 6.94 Li.upf
ATOMIC_POSITIONS crystal
I 0.000 0.000 0.000
I 0.750 0.250 0.500
Ru 0.500 0.500 0.000
Ru 0.250 0.750 0.500
Li 0.616 0.125 0.250
Li 0.134 0.625 0.250
Li 0.375 0.384 0.750
Li 0.875 0.866 0.750
CELL_PARAMETERS angstrom
-6.103 2.083 3.830
-1.958 -7.197 0.794
-2.650 -2.682 4.580
```

=====

Most stable = 2)